# 1
A relaxed Tb2NdC crystal. Source: Alexandria, functional PBE-GGA.

- Energy above the lowest structure with this stoichiometry: 0.0 meV/atom
- SG: No. 164

Cell: 3.6146 3.6151 9.3045 Å, 89.97 90.00 120.00°
Fractional positions:
C (0.0000, 0.0000, 0.5000)
Tb (0.3332, 0.6664, 0.6466)
Tb (0.6668, 0.3336, 0.3534)
Nd (0.0000, 0.0000, 0.0000)



# 2
A relaxed Tb2NdC3 crystal. Source: Alexandria, functional PBE-GGA.

- SG: No. 74

Cell: 5.7601 7.0903 7.0903 Å, 64.44 66.03 66.03°
Fractional positions:
Tb (0.4221, 0.7444, 0.4115)
Tb (0.9221, 0.9115, 0.2444)
Tb (0.5779, 0.2556, 0.5885)
Tb (0.0779, 0.0885, 0.7556)
Nd (0.7500, 0.7103, 0.7897)
Nd (0.2500, 0.2897, 0.2103)
C (0.5000, 0.0000, 0.5000)
C (0.3819, 0.0000, 0.0000)
C (0.6181, 0.0000, 0.0000)
C (0.8819, 0.5000, 0.5000)
C (0.1181, 0.5000, 0.5000)
C (0.0000, 0.0000, 0.5000)



# 3
A relaxed TbNdC crystal. Source: Alexandria, functional PBE-GGA.

- Energy above the lowest structure with this stoichiometry: 0.0 meV/atom
- SG: No. 12

Cell: 3.6400 6.3149 6.7868 Å, 98.28 105.56 90.00°
Fractional positions:
Nd (0.3884, 0.6322, 0.7768)
Nd (0.6116, 0.3678, 0.2232)
C (0.0000, 0.5000, 0.0000)
C (0.5000, 0.0000, 0.0000)
Tb (0.1030, 0.8652, 0.2060)
Tb (0.8970, 0.1348, 0.7940)



# 4
A relaxed TbNdC crystal. Source: Alexandria, functional PBE-GGA.

- Energy above the lowest structure with this stoichiometry: 115.6 meV/atom
- SG: No. 57

Cell: 6.3455 7.4511 6.2593 Å, 90.00 90.00 90.00°
Fractional positions:
Tb (0.7500, 0.0962, 0.5632)
Tb (0.2500, 0.9038, 0.4368)
Tb (0.7500, 0.9038, 0.0632)
Tb (0.2500, 0.0962, 0.9368)
C (0.5000, 0.8689, 0.7500)
C (0.5000, 0.1311, 0.2500)
C (0.0000, 0.8689, 0.7500)
C (0.0000, 0.1311, 0.2500)
Nd (0.7500, 0.6528, 0.5982)
Nd (0.7500, 0.3472, 0.0982)
Nd (0.2500, 0.6528, 0.9018)
Nd (0.2500, 0.3472, 0.4018)



no.,E_form (eV/atom),raw total energy (eV/atom)
1,-0.1663,-5.979
2,-0.0393,-6.989
3,-0.1695,-6.377
4,-0.0539,-6.261